DFT (PBE) results for a geometry-optimized TlAu10 structure.

```
data_TlAu10
_cell_length_a 9.048
_cell_length_b 4.064
_cell_length_c 33.554
_cell_angle_alpha 90.00
_cell_angle_beta 90.58
_cell_angle_gamma 90.00
_symmetry_space_group_name_H-M 'C 1 2/m 1'
_symmetry_Int_Tables_number 12
loop_
_symmetry_equiv_pos_as_xyz
'x,y,z'
'-x,-y,-z'
'-x,y,-z'
'x,-y,z'
'x+1/2,y+1/2,z'
'-x+1/2,-y+1/2,-z'
'-x+1/2,y+1/2,-z'
'x+1/2,-y+1/2,z'
loop_
_atom_site_label
_atom_site_fract_x
_atom_site_fract_y
_atom_site_fract_z
_atom_site_occupancy
Tl1 0.151 0.000 0.189 1
Au1 0.046 0.000 0.684 1
Au2 0.050 0.500 0.257 1
Au3 0.050 0.500 0.542 1
Au4 0.051 0.000 0.402 1
Au5 0.148 0.000 0.769 1
Au6 0.148 0.500 0.627 1
Au7 0.150 0.000 0.486 1
Au8 0.154 0.500 0.344 1
Au9 0.248 0.000 0.570 1
Au10 0.249 0.500 0.713 1
```

---

# Li2LuIn2AgAu2 PBE optimized geometry
data_Li2LuIn2AgAu2
_cell_length_a 4.785
_cell_length_b 4.785
_cell_length_c 6.660
_cell_angle_alpha 90.00
_cell_angle_beta 90.00
_cell_angle_gamma 90.00
_symmetry_space_group_name_H-M 'P -4 m 2'
_symmetry_Int_Tables_number 115
loop_
_symmetry_equiv_pos_as_xyz
'x,y,z'
'y,-x,-z'
'-x,-y,z'
'-y,x,-z'
'-x,y,z'
'-y,-x,-z'
'x,-y,z'
'y,x,-z'
loop_
_atom_site_label
_atom_site_fract_x
_atom_site_fract_y
_atom_site_fract_z
_atom_site_occupancy
Li1 0.000 0.500 0.203 1
Lu1 0.000 0.000 0.500 1
In1 0.000 0.000 0.000 1
In2 0.500 0.500 0.500 1
Ag1 0.500 0.500 0.000 1
Au1 0.000 0.500 0.743 1
# **Total magnetization**: 0.000 μB per atom

---

Number 1: raw total energy -3.15 eV per atom, calculated density 11.7 g/cm³. Number 2: raw total energy -3.35 eV per atom, calculated density 10.0 g/cm³.